VASP calculation (PBE-GGA) on a geometry-optimized Pm4CuSn3 structure.

Properties
density of states at the Fermi level	7.1	states/eV/f.u.
energy of formation	-0.600	eV per atom
symmetry	Pmm2, No. 25

Cell: 4.490 4.410 11.542 Å, 90.00 90.00 90.00°
Positions (direct):
Pm 0.500 0.500 0.353
Pm 0.000 0.500 0.871
Pm 0.000 0.000 0.135
Pm 0.500 0.000 0.640
Cu 0.500 0.500 0.072
Sn 0.000 0.500 0.592
Sn 0.000 0.000 0.411
Sn 0.500 0.000 0.925

VASP calculation (PBE-GGA) on a geometry-optimized ScTlPt structure.

Properties
density of states at the Fermi level	2.8	states/eV/f.u.
energy of formation	-0.436	eV per atom
symmetry	P3m1, No. 156

Cell: 3.606 3.606 6.172 Å, 90.00 90.00 120.00°
Positions (direct):
Pt 0.000 0.000 0.030
Sc 0.667 0.333 0.283
Tl 0.333 0.667 0.687

VASP calculation (PBE-GGA) on a geometry-optimized NaErPu4N8 structure.

Properties
density of states at the Fermi level	25.4	states/eV/f.u.
symmetry	R3m, No. 160
ΔE_f (raw)	-12.59	eV per formula unit

Cell: 6.871 6.871 6.554 Å, 58.39 58.39 60.00°
Positions (direct):
Na 0.002 0.002 0.995
Er 0.382 0.382 0.855
Pu 0.607 0.607 0.178
Pu 0.999 0.500 0.502
Pu 0.500 0.999 0.502
Pu 0.999 0.999 0.502
N 0.260 0.790 0.690
N 0.790 0.260 0.690
N 0.260 0.260 0.690
N 0.236 0.236 0.291
N 0.749 0.209 0.293
N 0.209 0.749 0.293
N 0.749 0.749 0.293
N 0.758 0.758 0.727

VASP calculation (PBE-GGA) on a geometry-optimized Li2CuP structure.

Properties
density of states at the Fermi level	1.8	states/eV/f.u.
energy of formation	-0.329	eV per atom
symmetry	Pmmm, No. 47

Cell: 3.564 3.591 3.907 Å, 90.00 90.00 90.00°
Positions (direct):
Cu 0.000 0.500 0.500
Li 0.000 0.000 0.000
Li 0.500 0.500 0.000
P 0.500 0.000 0.500

VASP calculation (PBE-GGA) on a geometry-optimized Pm2NbGe4Pt3 structure.

Properties
density of states at the Fermi level	4.9	states/eV/f.u.
energy of formation	-0.832	eV per atom
symmetry	P-4m2, No. 115

Cell: 4.277 4.277 10.752 Å, 90.00 90.00 90.00°
Positions (direct):
Pm 0.500 0.000 0.239
Pm 0.000 0.500 0.761
Nb 0.500 0.500 0.500
Ge 0.500 0.500 0.000
Ge 0.000 0.000 0.000
Ge 0.500 0.000 0.642
Ge 0.000 0.500 0.358
Pt 0.000 0.000 0.500
Pt 0.500 0.000 0.873
Pt 0.000 0.500 0.127

VASP calculation (PBE-GGA) on a geometry-optimized LaPm8Sb6 structure.

Properties
density of states at the Fermi level	16.9	states/eV/f.u.
symmetry	R-3, No. 148
ΔE_f (raw)	-12.54	eV per formula unit

Cell: 8.289 8.289 9.709 Å, 64.73 64.73 60.00°
Positions (direct):
La 0.000 0.000 0.000
Pm 0.550 0.208 0.365
Pm 0.792 0.123 0.635
Pm 0.123 0.450 0.635
Pm 0.667 0.667 0.000
Pm 0.333 0.333 0.000
Pm 0.877 0.550 0.365
Pm 0.208 0.877 0.365
Pm 0.450 0.792 0.635
Sb 0.408 0.068 0.794
Sb 0.932 0.269 0.206
Sb 0.269 0.592 0.206
Sb 0.731 0.408 0.794
Sb 0.068 0.731 0.794
Sb 0.592 0.932 0.206